No. 1
Here is an optimized crystal structure of IrPdPt from Alexandria via LeMat-Bulk. Energies are from PBE-GGA.

Values from the calculation:
Formation energy from the elements: 0.207 eV/atom

Geometry as CIF:
```
data_IrPdPt
_space_group_name_H-M_alt 'C 1 2/m 1'
_space_group_IT_number 12
_cell_length_a 8.127
_cell_length_b 4.436
_cell_length_c 5.295
_cell_angle_alpha 90.00
_cell_angle_beta 94.88
_cell_angle_gamma 90.00
loop_
_space_group_symop_operation_xyz
'x,y,z'
'-x,-y,-z'
'-x,y,-z'
'x,-y,z'
'x+1/2,y+1/2,z'
'-x+1/2,-y+1/2,-z'
'-x+1/2,y+1/2,-z'
'x+1/2,-y+1/2,z'
loop_
_atom_site_label
_atom_site_type_symbol
_atom_site_fract_x
_atom_site_fract_y
_atom_site_fract_z
_atom_site_occupancy
Ir1 Ir 0.224 0.000 0.370 1
Pd1 Pd 0.146 0.000 0.871 1
Pt1 Pt 0.039 0.500 0.251 1
```



No. 2
Here is an optimized crystal structure of IrPd2Pt3 from Alexandria via LeMat-Bulk. Energies are from PBE-GGA.

Values from the calculation:
Formation energy from the elements: 0.014 eV/atom

Geometry as CIF:
```
data_IrPd2Pt3
_space_group_name_H-M_alt 'C 1 2/m 1'
_space_group_IT_number 12
_cell_length_a 4.828
_cell_length_b 8.359
_cell_length_c 9.243
_cell_angle_alpha 90.00
_cell_angle_beta 99.93
_cell_angle_gamma 90.00
loop_
_space_group_symop_operation_xyz
'x,y,z'
'-x,-y,-z'
'-x,y,-z'
'x,-y,z'
'x+1/2,y+1/2,z'
'-x+1/2,-y+1/2,-z'
'-x+1/2,y+1/2,-z'
'x+1/2,-y+1/2,z'
loop_
_atom_site_label
_atom_site_type_symbol
_atom_site_fract_x
_atom_site_fract_y
_atom_site_fract_z
_atom_site_occupancy
Ir1 Ir 0.000 0.166 0.000 1
Pd1 Pd 0.000 0.000 0.500 1
Pd2 Pd 0.000 0.334 0.500 1
Pd3 Pd 0.000 0.500 0.000 1
Pt1 Pt 0.247 0.000 0.248 1
Pt2 Pt 0.250 0.168 0.753 1
```



No. 3
Here is an optimized crystal structure of IrPd2Pt from Alexandria via LeMat-Bulk. Energies are from PBE-GGA.

Values from the calculation:
Formation energy from the elements: 0.053 eV/atom

Geometry as CIF:
```
data_IrPd2Pt
_space_group_name_H-M_alt 'P 4 m m'
_space_group_IT_number 99
_cell_length_a 2.790
_cell_length_b 2.790
_cell_length_c 7.817
_cell_angle_alpha 90.00
_cell_angle_beta 90.00
_cell_angle_gamma 90.00
loop_
_space_group_symop_operation_xyz
'x,y,z'
'-y,x,z'
'-x,-y,z'
'y,-x,z'
'-x,y,z'
'y,x,z'
'x,-y,z'
'-y,-x,z'
loop_
_atom_site_label
_atom_site_type_symbol
_atom_site_fract_x
_atom_site_fract_y
_atom_site_fract_z
_atom_site_occupancy
Ir1 Ir 0.000 0.000 0.000 1
Pd1 Pd 0.000 0.000 0.499 1
Pd2 Pd 0.500 0.500 0.757 1
Pt1 Pt 0.500 0.500 0.242 1
```



Copy entry 1 word for word.
Here is an optimized crystal structure of IrPdPt from Alexandria via LeMat-Bulk. Energies are from PBE-GGA.

Values from the calculation:
Formation energy from the elements: 0.207 eV/atom

Geometry as CIF:
```
data_IrPdPt
_space_group_name_H-M_alt 'C 1 2/m 1'
_space_group_IT_number 12
_cell_length_a 8.127
_cell_length_b 4.436
_cell_length_c 5.295
_cell_angle_alpha 90.00
_cell_angle_beta 94.88
_cell_angle_gamma 90.00
loop_
_space_group_symop_operation_xyz
'x,y,z'
'-x,-y,-z'
'-x,y,-z'
'x,-y,z'
'x+1/2,y+1/2,z'
'-x+1/2,-y+1/2,-z'
'-x+1/2,y+1/2,-z'
'x+1/2,-y+1/2,z'
loop_
_atom_site_label
_atom_site_type_symbol
_atom_site_fract_x
_atom_site_fract_y
_atom_site_fract_z
_atom_site_occupancy
Ir1 Ir 0.224 0.000 0.370 1
Pd1 Pd 0.146 0.000 0.871 1
Pt1 Pt 0.039 0.500 0.251 1
```



What did the first record say?
Here is an optimized crystal structure of IrPdPt from Alexandria via LeMat-Bulk. Energies are from PBE-GGA.

Values from the calculation:
Formation energy from the elements: 0.207 eV/atom

Geometry as CIF:
```
data_IrPdPt
_space_group_name_H-M_alt 'C 1 2/m 1'
_space_group_IT_number 12
_cell_length_a 8.127
_cell_length_b 4.436
_cell_length_c 5.295
_cell_angle_alpha 90.00
_cell_angle_beta 94.88
_cell_angle_gamma 90.00
loop_
_space_group_symop_operation_xyz
'x,y,z'
'-x,-y,-z'
'-x,y,-z'
'x,-y,z'
'x+1/2,y+1/2,z'
'-x+1/2,-y+1/2,-z'
'-x+1/2,y+1/2,-z'
'x+1/2,-y+1/2,z'
loop_
_atom_site_label
_atom_site_type_symbol
_atom_site_fract_x
_atom_site_fract_y
_atom_site_fract_z
_atom_site_occupancy
Ir1 Ir 0.224 0.000 0.370 1
Pd1 Pd 0.146 0.000 0.871 1
Pt1 Pt 0.039 0.500 0.251 1
```



The highest formation energy from the elements belongs to which entry?
IrPdPt



Copy entry 3 word for word.
Here is an optimized crystal structure of IrPd2Pt from Alexandria via LeMat-Bulk. Energies are from PBE-GGA.

Values from the calculation:
Formation energy from the elements: 0.053 eV/atom

Geometry as CIF:
```
data_IrPd2Pt
_space_group_name_H-M_alt 'P 4 m m'
_space_group_IT_number 99
_cell_length_a 2.790
_cell_length_b 2.790
_cell_length_c 7.817
_cell_angle_alpha 90.00
_cell_angle_beta 90.00
_cell_angle_gamma 90.00
loop_
_space_group_symop_operation_xyz
'x,y,z'
'-y,x,z'
'-x,-y,z'
'y,-x,z'
'-x,y,z'
'y,x,z'
'x,-y,z'
'-y,-x,z'
loop_
_atom_site_label
_atom_site_type_symbol
_atom_site_fract_x
_atom_site_fract_y
_atom_site_fract_z
_atom_site_occupancy
Ir1 Ir 0.000 0.000 0.000 1
Pd1 Pd 0.000 0.000 0.499 1
Pd2 Pd 0.500 0.500 0.757 1
Pt1 Pt 0.500 0.500 0.242 1
```